(1)
DFT (PBE) results for a relaxed LaPrCN2O2 crystal.

Summary:
The total DFT energy (no corrections) comes out at -0.31589 Ha/atom. The total magnetization is 0.00 Bohr magnetons per cell. As for the crystal system: trigonal.

Unit cell a=3.9503 b=3.9503 c=8.3400 alpha=90.00 beta=90.00 gamma=120.00
With the nearest neighbours (Å) after each atom.
Fractional positions:
1 La 0.0000 0.0000 0.0000  4 O 2.38-2.39
2 Pr 0.6667 0.3333 0.6355  4 O 2.37-2.38
3 C 0.3333 0.6667 0.3177  2 N 1.24
4 N 0.3333 0.6667 0.1695  1 C 1.24
5 N 0.3333 0.6667 0.4658  1 C 1.24
6 O 0.0000 0.0000 0.7137  3 Pr 2.37, 1 La 2.39
7 O 0.6667 0.3333 0.9205  3 La 2.38, 1 Pr 2.38

---

(2)
DFT (PBE) results for a relaxed LaTbCN2O2 crystal.

Summary:
The total DFT energy (no corrections) comes out at -0.31676 Ha/atom. The total magnetization is 0.00 Bohr magnetons per cell. As for the crystal system: trigonal.

Unit cell a=3.8509 b=3.8509 c=8.2681 alpha=90.00 beta=90.00 gamma=120.00
With the nearest neighbours (Å) after each atom.
Fractional positions:
1 La 0.0000 0.0000 0.0000  4 O 2.34-2.43
2 Tb 0.6667 0.3333 0.6392  4 O 2.26-2.29
3 C 0.3333 0.6667 0.3247  2 N 1.23-1.24
4 N 0.3333 0.6667 0.1751  1 C 1.24
5 N 0.3333 0.6667 0.4738  1 C 1.23
6 O 0.0000 0.0000 0.7065  3 Tb 2.29, 1 La 2.43
7 O 0.6667 0.3333 0.9124  1 Tb 2.26, 3 La 2.34

---

(3)
DFT (PBE) results for a relaxed LaTmCN2O2 crystal.

Summary:
The total DFT energy (no corrections) comes out at -0.31601 Ha/atom. The total magnetization is 0.00 Bohr magnetons per cell. As for the crystal system: trigonal.

Unit cell a=3.8070 b=3.8070 c=8.2263 alpha=90.00 beta=90.00 gamma=120.00
With the nearest neighbours (Å) after each atom.
Fractional positions:
1 La 0.0000 0.0000 0.0000  4 O 2.32-2.43
2 Tm 0.6667 0.3333 0.6414  4 O 2.20-2.26
3 C 0.3333 0.6667 0.3287  2 N 1.23-1.24
4 N 0.3333 0.6667 0.1782  1 C 1.24
5 N 0.3333 0.6667 0.4786  1 C 1.23
6 O 0.0000 0.0000 0.7046  3 Tm 2.26, 1 La 2.43
7 O 0.6667 0.3333 0.9091  1 Tm 2.20, 3 La 2.32

---

(4)
DFT (PBE) results for a relaxed LaNd2OsC4 crystal.

Summary:
The total DFT energy (no corrections) comes out at -0.29276 Ha/atom. The total magnetization is 0.01 Bohr magnetons per cell. As for the crystal system: monoclinic.

Unit cell a=16.9557 b=3.8233 c=4.3338 alpha=90.00 beta=98.43 gamma=90.00
With the nearest neighbours (Å) after each atom.
Fractional positions:
1 La 0.0000 0.0000 0.0000  4 C 2.85, 4 Os 2.89
2 La 0.5000 0.5000 0.0000  4 C 2.85, 4 Os 2.89
3 Nd 0.1768 0.0000 0.7124  3 C 2.50-2.70
4 Nd 0.3232 0.5000 0.2876  3 C 2.50-2.70
5 Nd 0.6768 0.5000 0.7124  3 C 2.50-2.70
6 Nd 0.8232 0.0000 0.2876  3 C 2.50-2.70
7 Os 0.0000 0.5000 0.5000  2 C 2.00
8 Os 0.5000 0.0000 0.5000  2 C 2.00
9 C 0.1038 0.5000 0.3343  1 C 1.33
10 C 0.1744 0.5000 0.2326  1 C 1.33
11 C 0.3256 0.0000 0.7674  1 C 1.33
12 C 0.3962 0.0000 0.6657  1 C 1.33
13 C 0.6038 0.0000 0.3343  1 C 1.33
14 C 0.6744 0.0000 0.2326  1 C 1.33
15 C 0.8256 0.5000 0.7674  1 C 1.33
16 C 0.8962 0.5000 0.6657  1 C 1.33

---

(5)
DFT (PBE) results for a relaxed LaNdSi2W2C crystal.

Summary:
The total DFT energy (no corrections) comes out at -0.30951 Ha/atom. The total magnetization is 0.00 Bohr magnetons per cell. As for the crystal system: monoclinic.

Unit cell a=11.2614 b=3.9695 c=7.4060 alpha=90.00 beta=125.87 gamma=90.00
With the nearest neighbours (Å) after each atom.
Fractional positions:
1 La 0.0000 0.0000 0.0000  2 C 2.75
2 La 0.5000 0.5000 0.0000  2 C 2.75
3 Nd 0.1546 0.0000 0.6056  2 C 2.71
4 Nd 0.6546 0.5000 0.6056  2 C 2.71
5 Si 0.2129 0.5000 0.9794  3 W 2.58-2.60, 1 Si 2.60
6 Si 0.4426 0.0000 0.6282  3 W 2.57-2.59, 1 Si 2.60
7 Si 0.7129 0.0000 0.9794  3 W 2.58-2.60, 1 Si 2.60
8 Si 0.9426 0.5000 0.6282  3 W 2.57-2.59, 1 Si 2.60
9 W 0.2845 0.5000 0.3828  1 C 2.04
10 W 0.3721 0.0000 0.2270  1 C 2.04
11 W 0.7845 0.0000 0.3828  1 C 2.04
12 W 0.8721 0.5000 0.2270  1 C 2.04
13 C 0.0790 0.5000 0.3078  2 W 2.04
14 C 0.5790 0.0000 0.3078  2 W 2.04

---

(6)
DFT (PBE) results for a relaxed LaNd2Ta2C6 crystal.

Summary:
The total DFT energy (no corrections) comes out at -0.30799 Ha/atom. The total magnetization is 0.01 Bohr magnetons per cell. As for the crystal system: tetragonal.

Unit cell a=11.2735 b=11.2735 c=11.2735 alpha=159.19 beta=159.19 gamma=29.60
With the nearest neighbours (Å) after each atom.
Fractional positions:
1 La 0.0000 0.0000 0.0000  8 C 2.69
2 Nd 0.1880 0.1880 0.0000  1 C 2.50
3 Nd 0.8120 0.8120 0.0000  1 C 2.50
4 Ta 0.3960 0.3960 0.0000  5 C 2.03-2.10
5 Ta 0.6040 0.6040 0.0000  5 C 2.03-2.10
6 C 0.0809 0.5809 0.5000  2 Ta 2.10
7 C 0.3028 0.3028 0.0000  1 Ta 2.03
8 C 0.4191 0.9191 0.5000  2 Ta 2.10
9 C 0.5809 0.0809 0.5000  2 Ta 2.10
10 C 0.6972 0.6972 0.0000  1 Ta 2.03
11 C 0.9191 0.4191 0.5000  2 Ta 2.10